## Nd6Mg5Sn (PBE)

Data for crystalline Nd6Mg5Sn at its relaxed geometry.

Summary:
Calculated formation energy   -2.7 eV/f.u.
Final energy   -3.609 eV/atom

a b c (Å): 5.4863 16.5212 7.7410
angles (deg): 90.00 90.00 90.00
Space group Cmmm (No. 65)
Unique sites:
1 Nd 0.0000 0.0000 0.2470 x4
2 Nd 0.0000 0.3345 0.2516 x8
3 Mg 0.0000 0.1664 0.5000 x4
4 Mg 0.0000 0.1722 0.0000 x4
5 Mg 0.0000 0.5000 0.5000 x2
6 Sn 0.0000 0.5000 0.0000 x2